(1)
TlHg3 | PBE | optimized geometry

Calculated values
Total moment = 0.00 Bohr magnetons per cell
Energy of formation = -0.02 eV per atom
Space-group type = Pmmm, No. 47

Cell lengths 3.5257, 4.6315, 6.9470 Å; angles 90.00, 90.00, 90.00 degrees
Last column: nearest neighbours and their distance in Å.
Fractional positions:
Tl 0.0000 0.0000 0.0000  10 Hg 3.42-3.47, 2 Tl 3.53
Hg 0.0000 0.0000 0.5000  10 Hg 3.36-3.53, 2 Tl 3.47
Hg 0.5000 0.5000 0.2587  8 Hg 3.35-3.59, 4 Tl 3.42
Hg 0.5000 0.5000 0.7413  8 Hg 3.35-3.59, 4 Tl 3.42

(2)
In4Hg | PBE | optimized geometry

Calculated values
E above lowest polymorph = 0 meV/atom
Total moment = 0.00 Bohr magnetons per cell
Energy of formation = 0.01 eV per atom
Space-group type = P1, No. 1

Cell lengths 5.8948, 5.9894, 8.3682 Å; angles 85.69, 75.39, 69.18 degrees
Last column: nearest neighbours and their distance in Å.
Fractional positions:
In 0.0000 0.0000 0.0000  2 Hg 3.17-3.54, 10 In 3.26-3.49
In 0.0853 0.5018 0.7948  2 Hg 3.19-3.53, 10 In 3.25-3.50
In 0.1921 0.0020 0.5948  9 In 3.22-3.53, 3 Hg 3.23-3.38
In 0.2928 0.5039 0.3954  4 Hg 3.20-3.54, 8 In 3.21-3.49
In 0.4934 0.4990 0.9939  3 Hg 3.23-3.47, 9 In 3.24-3.54
In 0.5910 0.0009 0.8008  3 Hg 3.23-3.49, 9 In 3.25-3.53
In 0.7862 0.0037 0.3993  4 Hg 3.19-3.55, 8 In 3.22-3.48
In 0.8885 0.5033 0.1998  9 In 3.21-3.54, 3 Hg 3.23-3.38
Hg 0.3926 0.0034 0.1981  12 In 3.17-3.55
Hg 0.6891 0.5016 0.5966  12 In 3.19-3.54

(3)
RbVCrCl6 | PBE | optimized geometry

Calculated values
Raw formation energy = -1356 meV/atom
Total moment = 6.00 Bohr magnetons per cell
Space-group type = P312, No. 149

Cell lengths 6.3359, 6.3359, 7.4312 Å; angles 90.00, 90.00, 120.00 degrees
Last column: nearest neighbours and their distance in Å.
Fractional positions:
Rb 0.0000 0.0000 0.0000  6 Cl 3.31
V 0.3333 0.6667 0.5000  6 Cl 2.45
Cr 0.6667 0.3333 0.5000  6 Cl 2.41
Cl 0.3690 0.0043 0.6825  1 Cr 2.41, 1 V 2.45
Cl 0.3690 0.3647 0.3175  1 Cr 2.41, 1 V 2.45
Cl 0.6353 0.0043 0.3175  1 Cr 2.41, 1 V 2.45
Cl 0.6353 0.6310 0.6825  1 Cr 2.41, 1 V 2.45
Cl 0.9957 0.3647 0.6825  1 Cr 2.41, 1 V 2.45
Cl 0.9957 0.6310 0.3175  1 Cr 2.41, 1 V 2.45

(4)
Li12Bi3Cl5 | PBE | optimized geometry

Calculated values
Raw formation energy = -1014 meV/atom
Total moment = 0.00 Bohr magnetons per cell
Space-group type = Ia-3d, No. 230

Cell lengths 13.3352, 13.3352, 13.3352 Å; angles 109.47, 109.47, 109.47 degrees
Last column: nearest neighbours and their distance in Å.
Fractional positions:
Li 0.0393 0.2162 0.1289  2 Cl 2.37-2.58
Li 0.0393 0.3231 0.9104  2 Cl 2.37-2.58
Li 0.0873 0.7162 0.6769  2 Cl 2.37-2.58
Li 0.0873 0.8711 0.4104  2 Cl 2.37-2.58
Li 0.0896 0.6289 0.4127  2 Cl 2.37-2.58
Li 0.0896 0.9607 0.6769  2 Cl 2.37-2.58
Li 0.1289 0.0393 0.2162  2 Cl 2.37-2.58
Li 0.1289 0.5896 0.9127  2 Cl 2.37-2.58
Li 0.1769 0.2162 0.5873  2 Cl 2.37-2.58
Li 0.1769 0.4607 0.5896  2 Cl 2.37-2.58
Li 0.2162 0.1289 0.0393  2 Cl 2.37-2.58
Li 0.2162 0.5873 0.1769  2 Cl 2.37-2.58
Li 0.2838 0.3231 0.9127  2 Cl 2.37-2.58
Li 0.2838 0.4607 0.3711  2 Cl 2.37-2.58
Li 0.3231 0.9104 0.0393  2 Cl 2.37-2.58
Li 0.3231 0.9127 0.2838  2 Cl 2.37-2.58
Li 0.3711 0.2838 0.4607  2 Cl 2.37-2.58
Li 0.3711 0.5873 0.9104  2 Cl 2.37-2.58
Li 0.4104 0.0873 0.8711  2 Cl 2.37-2.58
Li 0.4104 0.8231 0.5393  2 Cl 2.37-2.58
Li 0.4127 0.0896 0.6289  2 Cl 2.37-2.58
Li 0.4127 0.8231 0.7838  2 Cl 2.37-2.58
Li 0.4607 0.3711 0.2838  2 Cl 2.37-2.58
Li 0.4607 0.5896 0.1769  2 Cl 2.37-2.58
Li 0.5393 0.4104 0.8231  2 Cl 2.37-2.58
Li 0.5393 0.6289 0.7162  2 Cl 2.37-2.58
Li 0.5873 0.1769 0.2162  2 Cl 2.37-2.58
Li 0.5873 0.9104 0.3711  2 Cl 2.37-2.58
Li 0.5896 0.1769 0.4607  2 Cl 2.37-2.58
Li 0.5896 0.9127 0.1289  2 Cl 2.37-2.58
Li 0.6289 0.4127 0.0896  2 Cl 2.37-2.58
Li 0.6289 0.7162 0.5393  2 Cl 2.37-2.58
Li 0.6769 0.0873 0.7162  2 Cl 2.37-2.58
Li 0.6769 0.0896 0.9607  2 Cl 2.37-2.58
Li 0.7162 0.5393 0.6289  2 Cl 2.37-2.58
Li 0.7162 0.6769 0.0873  2 Cl 2.37-2.58
Li 0.7838 0.4127 0.8231  2 Cl 2.37-2.58
Li 0.7838 0.8711 0.9607  2 Cl 2.37-2.58
Li 0.8231 0.5393 0.4104  2 Cl 2.37-2.58
Li 0.8231 0.7838 0.4127  2 Cl 2.37-2.58
Li 0.8711 0.4104 0.0873  2 Cl 2.37-2.58
Li 0.8711 0.9607 0.7838  2 Cl 2.37-2.58
Li 0.9104 0.0393 0.3231  2 Cl 2.37-2.58
Li 0.9104 0.3711 0.5873  2 Cl 2.37-2.58
Li 0.9127 0.1289 0.5896  2 Cl 2.37-2.58
Li 0.9127 0.2838 0.3231  2 Cl 2.37-2.58
Li 0.9607 0.6769 0.0896  2 Cl 2.37-2.58
Li 0.9607 0.7838 0.8711  2 Cl 2.37-2.58
Bi 0.1250 0.2500 0.3750  8 Li 2.91-2.93
Bi 0.1250 0.3750 0.7500  8 Li 2.91-2.93
Bi 0.2500 0.3750 0.1250  8 Li 2.91-2.93
Bi 0.2500 0.8750 0.6250  8 Li 2.91-2.93
Bi 0.3750 0.1250 0.2500  8 Li 2.91-2.93
Bi 0.3750 0.7500 0.1250  8 Li 2.91-2.93
Bi 0.6250 0.2500 0.8750  8 Li 2.91-2.93
Bi 0.6250 0.8750 0.7500  8 Li 2.91-2.93
Bi 0.7500 0.1250 0.3750  8 Li 2.91-2.93
Bi 0.7500 0.6250 0.8750  8 Li 2.91-2.93
Bi 0.8750 0.6250 0.2500  8 Li 2.91-2.93
Bi 0.8750 0.7500 0.6250  8 Li 2.91-2.93
Cl 0.0000 0.0000 0.0000  6 Li 2.58
Cl 0.0000 0.0000 0.5000  6 Li 2.58
Cl 0.0000 0.5000 0.0000  6 Li 2.58
Cl 0.0000 0.5000 0.5000  6 Li 2.58
Cl 0.1250 0.7500 0.8750  4 Li 2.37
Cl 0.1250 0.8750 0.2500  4 Li 2.37
Cl 0.2500 0.1250 0.8750  4 Li 2.37
Cl 0.2500 0.6250 0.3750  4 Li 2.37
Cl 0.3750 0.2500 0.6250  4 Li 2.37
Cl 0.3750 0.6250 0.7500  4 Li 2.37
Cl 0.5000 0.0000 0.0000  6 Li 2.58
Cl 0.5000 0.0000 0.5000  6 Li 2.58
Cl 0.5000 0.5000 0.0000  6 Li 2.58
Cl 0.5000 0.5000 0.5000  6 Li 2.58
Cl 0.6250 0.3750 0.2500  4 Li 2.37
Cl 0.6250 0.7500 0.3750  4 Li 2.37
Cl 0.7500 0.3750 0.6250  4 Li 2.37
Cl 0.7500 0.8750 0.1250  4 Li 2.37
Cl 0.8750 0.1250 0.7500  4 Li 2.37
Cl 0.8750 0.2500 0.1250  4 Li 2.37

(5)
ErZrPdPb | PBE | optimized geometry

Calculated values
Total moment = 4.93 Bohr magnetons per cell
Energy of formation = -0.40 eV per atom
Space-group type = F-43m, No. 216

Cell lengths 7.1438, 7.1438, 7.1438 Å; angles 90.00, 90.00, 90.00 degrees
Last column: nearest neighbours and their distance in Å.
Fractional positions:
Er 0.0000 0.0000 0.0000  4 Pb 3.09, 4 Pd 3.09
Er 0.0000 0.5000 0.5000  4 Pb 3.09, 4 Pd 3.09
Er 0.5000 0.0000 0.5000  4 Pb 3.09, 4 Pd 3.09
Er 0.5000 0.5000 0.0000  4 Pb 3.09, 4 Pd 3.09
Zr 0.0000 0.0000 0.5000  4 Pb 3.09, 4 Pd 3.09
Zr 0.0000 0.5000 0.0000  4 Pb 3.09, 4 Pd 3.09
Zr 0.5000 0.0000 0.0000  4 Pb 3.09, 4 Pd 3.09
Zr 0.5000 0.5000 0.5000  4 Pb 3.09, 4 Pd 3.09
Pd 0.2500 0.2500 0.7500  4 Zr 3.09, 4 Er 3.09
Pd 0.2500 0.7500 0.2500  4 Zr 3.09, 4 Er 3.09
Pd 0.7500 0.2500 0.2500  4 Zr 3.09, 4 Er 3.09
Pd 0.7500 0.7500 0.7500  4 Zr 3.09, 4 Er 3.09
Pb 0.2500 0.2500 0.2500  4 Zr 3.09, 4 Er 3.09
Pb 0.2500 0.7500 0.7500  4 Zr 3.09, 4 Er 3.09
Pb 0.7500 0.2500 0.7500  4 Zr 3.09, 4 Er 3.09
Pb 0.7500 0.7500 0.2500  4 Zr 3.09, 4 Er 3.09

(6)
NdDyInPt | PBE | optimized geometry

Calculated values
Total moment = 0.00 Bohr magnetons per cell
Energy of formation = -0.69 eV per atom
Space-group type = F-43m, No. 216

Cell lengths 7.3787, 7.3787, 7.3787 Å; angles 90.00, 90.00, 90.00 degrees
Last column: nearest neighbours and their distance in Å.
Fractional positions:
Nd 0.0000 0.0000 0.0000  4 In 3.20, 4 Pt 3.20
Nd 0.0000 0.5000 0.5000  4 In 3.20, 4 Pt 3.20
Nd 0.5000 0.0000 0.5000  4 In 3.20, 4 Pt 3.20
Nd 0.5000 0.5000 0.0000  4 In 3.20, 4 Pt 3.20
Dy 0.0000 0.0000 0.5000  4 Pt 3.20, 4 In 3.20
Dy 0.0000 0.5000 0.0000  4 Pt 3.20, 4 In 3.20
Dy 0.5000 0.0000 0.0000  4 Pt 3.20, 4 In 3.20
Dy 0.5000 0.5000 0.5000  4 Pt 3.20, 4 In 3.20
In 0.2500 0.2500 0.7500  4 Dy 3.20, 4 Nd 3.20
In 0.2500 0.7500 0.2500  4 Dy 3.20, 4 Nd 3.20
In 0.7500 0.2500 0.2500  4 Dy 3.20, 4 Nd 3.20
In 0.7500 0.7500 0.7500  4 Nd 3.20, 4 Dy 3.20
Pt 0.2500 0.2500 0.2500  4 Dy 3.20, 4 Nd 3.20
Pt 0.2500 0.7500 0.7500  4 Dy 3.20, 4 Nd 3.20
Pt 0.7500 0.2500 0.7500  4 Dy 3.20, 4 Nd 3.20
Pt 0.7500 0.7500 0.2500  4 Dy 3.20, 4 Nd 3.20

(7)
Dy2HoRuN4 | PBE | optimized geometry

Calculated values
Raw formation energy = -1024 meV/atom
Total moment = 0.00 Bohr magnetons per cell
Space-group type = Cmcm, No. 63

Cell lengths 6.0092, 6.0092, 11.6326 Å; angles 90.00, 90.00, 147.39 degrees
Last column: nearest neighbours and their distance in Å.
Fractional positions:
Dy 0.1314 0.8686 0.5422  5 N 2.32-2.54
Dy 0.1314 0.8686 0.9578  5 N 2.32-2.54
Dy 0.8686 0.1314 0.0422  5 N 2.32-2.54
Dy 0.8686 0.1314 0.4578  5 N 2.32-2.54
Ho 0.3692 0.6308 0.7500  6 N 2.47-2.66
Ho 0.6308 0.3692 0.2500  6 N 2.47-2.66
Ru 0.3655 0.6345 0.2500  4 N 1.96-2.07
Ru 0.6345 0.3655 0.7500  4 N 1.96-2.07
N 0.0475 0.9525 0.7500  2 Ru 1.96
N 0.2313 0.7687 0.1315  1 Ru 2.07
N 0.2313 0.7687 0.3685  1 Ru 2.07
N 0.5000 0.5000 0.0000  4 Dy 2.32
N 0.5000 0.5000 0.5000  4 Dy 2.32
N 0.7687 0.2313 0.6315  1 Ru 2.07
N 0.7687 0.2313 0.8685  1 Ru 2.07
N 0.9525 0.0475 0.2500  2 Ru 1.96

(8)
SrZr2Ru | PBE | optimized geometry

Calculated values
E above lowest polymorph = 491 meV/atom
Total moment = 0.00 Bohr magnetons per cell
Energy of formation = 0.55 eV per atom
Space-group type = C2/m, No. 12

Cell lengths 6.1056, 10.3874, 3.1526 Å; angles 90.00, 116.30, 90.00 degrees
Last column: nearest neighbours and their distance in Å.
Fractional positions:
Sr 0.0000 0.0000 0.0000  4 Ru 3.05-3.28, 4 Zr 3.07, 2 Sr 3.15
Sr 0.5000 0.5000 0.0000  4 Ru 3.05-3.28, 4 Zr 3.07, 2 Sr 3.15
Zr 0.2500 0.2500 0.5000  6 Zr 3.05-3.28, 2 Ru 3.07, 2 Sr 3.07
Zr 0.2500 0.7500 0.5000  6 Zr 3.05-3.28, 2 Ru 3.07, 2 Sr 3.07
Zr 0.7500 0.2500 0.5000  6 Zr 3.05-3.28, 2 Sr 3.07, 2 Ru 3.07
Zr 0.7500 0.7500 0.5000  6 Zr 3.05-3.28, 2 Ru 3.07, 2 Sr 3.07
Ru 0.0000 0.5000 0.0000  4 Sr 3.05-3.28, 4 Zr 3.07, 2 Ru 3.15
Ru 0.5000 0.0000 0.0000  4 Sr 3.05-3.28, 4 Zr 3.07, 2 Ru 3.15

(9)
InAsCl2 | PBE | optimized geometry

Calculated values
Raw formation energy = -5 meV/atom
E above lowest polymorph = 475 meV/atom
Total moment = 0.00 Bohr magnetons per cell
Space-group type = P4/mmm, No. 123

Cell lengths 3.3076, 3.3076, 8.4615 Å; angles 90.00, 90.00, 90.00 degrees
Last column: nearest neighbours and their distance in Å.
Fractional positions:
In 0.0000 0.0000 0.0000  8 Cl 3.14, 4 In 3.31
As 0.0000 0.0000 0.5000  8 Cl 3.16, 4 As 3.31
Cl 0.5000 0.5000 0.2480  4 In 3.14, 4 As 3.16, 4 Cl 3.31
Cl 0.5000 0.5000 0.7520  4 In 3.14, 4 As 3.16, 4 Cl 3.31

(10)
Nd2OsC2 | PBE | optimized geometry

Calculated values
E above lowest polymorph = 0 meV/atom
Total moment = 0.00 Bohr magnetons per cell
Energy of formation = -0.24 eV per atom
Space-group type = Pnma, No. 62

Cell lengths 6.5517, 5.3933, 10.1648 Å; angles 90.00, 90.00, 90.00 degrees
Last column: nearest neighbours and their distance in Å.
Fractional positions:
Nd 0.0198 0.2500 0.2207  4 C 2.66-2.77
Nd 0.1955 0.2500 0.5482  5 C 2.57-2.70
Nd 0.3045 0.7500 0.0482  5 C 2.57-2.70
Nd 0.4802 0.7500 0.7207  4 C 2.66-2.77
Nd 0.5198 0.2500 0.2793  4 C 2.66-2.77
Nd 0.6955 0.2500 0.9518  5 C 2.57-2.70
Nd 0.8045 0.7500 0.4518  5 C 2.57-2.70
Nd 0.9802 0.7500 0.7793  4 C 2.66-2.77
Os 0.2344 0.2500 0.8584  3 C 1.93-2.00
Os 0.2656 0.7500 0.3584  3 C 1.93-2.00
Os 0.7344 0.2500 0.6416  3 C 1.93-2.00
Os 0.7656 0.7500 0.1416  3 C 1.93-2.00
C 0.0268 0.7500 0.2437  2 Os 1.95-2.00
C 0.1855 0.7500 0.5407  1 Os 1.93
C 0.3145 0.2500 0.0407  1 Os 1.93
C 0.4732 0.2500 0.7437  2 Os 1.95-2.00
C 0.5268 0.7500 0.2563  2 Os 1.95-2.00
C 0.6855 0.7500 0.9593  1 Os 1.93
C 0.8145 0.2500 0.4593  1 Os 1.93
C 0.9732 0.2500 0.7563  2 Os 1.95-2.00

(11)
Dy3Tl2Te6 | PBE | optimized geometry

Calculated values
Raw formation energy = -1051 meV/atom
Total moment = 0.00 Bohr magnetons per cell
Space-group type = C2/m, No. 12

Cell lengths 7.5959, 7.5959, 8.5413 Å; angles 98.57, 98.57, 119.97 degrees
Last column: nearest neighbours and their distance in Å.
Fractional positions:
Dy 0.0000 0.0000 0.0000  6 Te 3.08-3.09
Dy 0.3318 0.6682 0.0000  6 Te 3.08-3.09
Dy 0.6682 0.3318 0.0000  6 Te 3.08-3.09
Tl 0.1662 0.8338 0.5000  6 Te 3.43-3.44
Tl 0.8338 0.1662 0.5000  6 Te 3.43-3.44
Te 0.0729 0.4060 0.2169  3 Dy 3.08-3.09, 2 Tl 3.43
Te 0.2618 0.2618 0.7858  3 Dy 3.08-3.09, 2 Tl 3.44
Te 0.4060 0.0729 0.2169  3 Dy 3.08-3.09, 2 Tl 3.43
Te 0.5940 0.9271 0.7831  3 Dy 3.08-3.09, 2 Tl 3.43
Te 0.7382 0.7382 0.2142  3 Dy 3.08-3.09, 2 Tl 3.44
Te 0.9271 0.5940 0.7831  3 Dy 3.08-3.09, 2 Tl 3.43

(12)
La3CoCu | PBE | optimized geometry

Calculated values
E above lowest polymorph = 0 meV/atom
Total moment = 0.00 Bohr magnetons per cell
Energy of formation = -0.12 eV per atom
Space-group type = P-1, No. 2

Cell lengths 6.3348, 6.3736, 7.6023 Å; angles 88.80, 79.73, 63.28 degrees
Last column: nearest neighbours and their distance in Å.
Fractional positions:
La 0.0074 0.0860 0.2803  2 Co 2.72-2.76, 2 Cu 3.03
La 0.3080 0.2279 0.8339  1 Co 2.66
La 0.3264 0.4321 0.3537  1 Co 2.69
La 0.6736 0.5679 0.6463  1 Co 2.69
La 0.6920 0.7721 0.1661  1 Co 2.66
La 0.9926 0.9140 0.7197  2 Co 2.72-2.76, 2 Cu 3.03
Co 0.3700 0.9061 0.4697  1 Co 2.53, 4 La 2.66-2.76
Co 0.6300 0.0939 0.5303  1 Co 2.53, 4 La 2.66-2.76
Cu 0.3081 0.6891 0.9945  1 Cu 2.55
Cu 0.6919 0.3109 0.0055  1 Cu 2.55

Question: Which value of total moment does entry 11 give?
Answer: 0.00 Bohr magnetons per cell

Please write out number 11 again, unchanged.
Dy3Tl2Te6 | PBE | optimized geometry

Calculated values
Raw formation energy = -1051 meV/atom
Total moment = 0.00 Bohr magnetons per cell
Space-group type = C2/m, No. 12

Cell lengths 7.5959, 7.5959, 8.5413 Å; angles 98.57, 98.57, 119.97 degrees
Last column: nearest neighbours and their distance in Å.
Fractional positions:
Dy 0.0000 0.0000 0.0000  6 Te 3.08-3.09
Dy 0.3318 0.6682 0.0000  6 Te 3.08-3.09
Dy 0.6682 0.3318 0.0000  6 Te 3.08-3.09
Tl 0.1662 0.8338 0.5000  6 Te 3.43-3.44
Tl 0.8338 0.1662 0.5000  6 Te 3.43-3.44
Te 0.0729 0.4060 0.2169  3 Dy 3.08-3.09, 2 Tl 3.43
Te 0.2618 0.2618 0.7858  3 Dy 3.08-3.09, 2 Tl 3.44
Te 0.4060 0.0729 0.2169  3 Dy 3.08-3.09, 2 Tl 3.43
Te 0.5940 0.9271 0.7831  3 Dy 3.08-3.09, 2 Tl 3.43
Te 0.7382 0.7382 0.2142  3 Dy 3.08-3.09, 2 Tl 3.44
Te 0.9271 0.5940 0.7831  3 Dy 3.08-3.09, 2 Tl 3.43

What did the seventh record say?
Dy2HoRuN4 | PBE | optimized geometry

Calculated values
Raw formation energy = -1024 meV/atom
Total moment = 0.00 Bohr magnetons per cell
Space-group type = Cmcm, No. 63

Cell lengths 6.0092, 6.0092, 11.6326 Å; angles 90.00, 90.00, 147.39 degrees
Last column: nearest neighbours and their distance in Å.
Fractional positions:
Dy 0.1314 0.8686 0.5422  5 N 2.32-2.54
Dy 0.1314 0.8686 0.9578  5 N 2.32-2.54
Dy 0.8686 0.1314 0.0422  5 N 2.32-2.54
Dy 0.8686 0.1314 0.4578  5 N 2.32-2.54
Ho 0.3692 0.6308 0.7500  6 N 2.47-2.66
Ho 0.6308 0.3692 0.2500  6 N 2.47-2.66
Ru 0.3655 0.6345 0.2500  4 N 1.96-2.07
Ru 0.6345 0.3655 0.7500  4 N 1.96-2.07
N 0.0475 0.9525 0.7500  2 Ru 1.96
N 0.2313 0.7687 0.1315  1 Ru 2.07
N 0.2313 0.7687 0.3685  1 Ru 2.07
N 0.5000 0.5000 0.0000  4 Dy 2.32
N 0.5000 0.5000 0.5000  4 Dy 2.32
N 0.7687 0.2313 0.6315  1 Ru 2.07
N 0.7687 0.2313 0.8685  1 Ru 2.07
N 0.9525 0.0475 0.2500  2 Ru 1.96